# La3Nd6Ho2Er

La3Nd6Ho2Er after structural relaxation (PBE-GGA, the Alexandria database).

Results
**Energy of formation from the pure elements**: 20 meV per atom
**Theoretical density**: 7.11 g cm⁻³
**Fermi-level density of states**: 38.01 states/eV per cell
**Magnetic moment**: 0.0 Bohr magnetons per cell

abc: 6.3413 10.9957 12.0989
angles: 90.00 100.10 90.00
With the nearest neighbours (Å) after each atom.
Space group C2/m (No. 12)
Asymmetric unit:
La  0.0000  0.0000  0.0000 [2 per cell]  6 La 3.66-3.67, 6 Nd 3.72
La  0.0000  0.3333  0.0000 [4 per cell]  6 La 3.66-3.67, 6 Nd 3.72
Nd  0.2480  0.0000  0.7433 [4 per cell]  1 Er 3.59, 2 Ho 3.59, 6 Nd 3.66-3.67, 3 La 3.72
Nd  0.2478  0.3334  0.7433 [8 per cell]  1 Er 3.59, 2 Ho 3.59, 6 Nd 3.66-3.67, 3 La 3.72
Ho  0.0000  0.1667  0.5000 [4 per cell]  6 Nd 3.59, 3 Er 3.66-3.67, 3 Ho 3.66-3.67
Er  0.0000  0.5000  0.5000 [2 per cell]  6 Nd 3.59, 6 Ho 3.66-3.67